# Be2FeCuH PBE-GGA optimized geometry
# Spin magnetization   0.00 μB/f.u.
# V   8.1 A^3/atom
# E   -4.654 eV per atom
# Space-group type   No. 123
data_Be2FeCuH
_chemical_formula_sum 'Be2 Fe1 Cu1 H1'
_symmetry_space_group_name_H-M 'P 1'
_symmetry_Int_Tables_number 1
_cell_length_a 3.571
_cell_length_b 3.571
_cell_length_c 3.162
_cell_angle_alpha 90.00
_cell_angle_beta 90.00
_cell_angle_gamma 90.00
loop_
_symmetry_equiv_pos_as_xyz
'x,y,z'
loop_
_atom_site_label
_atom_site_fract_x
_atom_site_fract_y
_atom_site_fract_z
Be1 0.000 0.500 0.000
Be2 0.500 0.000 0.000
Fe1 0.000 0.000 0.500
Cu1 0.500 0.500 0.500
H1 0.000 0.000 0.000


# Hf2Be5Fe2Cu PBE-GGA optimized geometry
# Spin magnetization   0.00 μB/f.u.
# V   11.8 A^3/atom
# Energy of formation from the pure elements   -12.5 meV/atom
# E   -5.968 eV per atom
# Space-group type   No. 127
data_Hf2Be5Fe2Cu
_chemical_formula_sum 'Hf4 Be10 Fe4 Cu2'
_symmetry_space_group_name_H-M 'P 1'
_symmetry_Int_Tables_number 1
_cell_length_a 8.936
_cell_length_b 8.936
_cell_length_c 2.944
_cell_angle_alpha 90.00
_cell_angle_beta 90.00
_cell_angle_gamma 90.00
loop_
_symmetry_equiv_pos_as_xyz
'x,y,z'
loop_
_atom_site_label
_atom_site_fract_x
_atom_site_fract_y
_atom_site_fract_z
Hf1 0.182 0.318 0.000
Hf2 0.318 0.818 0.000
Hf3 0.682 0.182 0.000
Hf4 0.818 0.682 0.000
Be1 0.000 0.500 0.500
Be2 0.050 0.805 0.500
Be3 0.195 0.050 0.500
Be4 0.305 0.550 0.500
Be5 0.450 0.305 0.500
Be6 0.500 0.000 0.500
Be7 0.550 0.695 0.500
Be8 0.695 0.450 0.500
Be9 0.805 0.950 0.500
Be10 0.950 0.195 0.500
Fe1 0.123 0.623 0.000
Fe2 0.377 0.123 0.000
Fe3 0.623 0.877 0.000
Fe4 0.877 0.377 0.000
Cu1 0.000 0.000 0.000
Cu2 0.500 0.500 0.000


# BeFeCuIr PBE-GGA optimized geometry
# Spin magnetization   2.87 μB/f.u.
# V   11.8 A^3/atom
# Energy of formation from the pure elements   -27.2 meV/atom
# E above lowest polymorph   107 meV/atom
# E   -6.314 eV per atom
# Space-group type   No. 119
data_BeFeCuIr
_chemical_formula_sum 'Be1 Fe1 Cu1 Ir1'
_symmetry_space_group_name_H-M 'P 1'
_symmetry_Int_Tables_number 1
_cell_length_a 4.519
_cell_length_b 4.519
_cell_length_c 4.519
_cell_angle_alpha 133.74
_cell_angle_beta 133.74
_cell_angle_gamma 67.50
loop_
_symmetry_equiv_pos_as_xyz
'x,y,z'
loop_
_atom_site_label
_atom_site_fract_x
_atom_site_fract_y
_atom_site_fract_z
Be1 0.000 0.000 0.000
Fe1 0.750 0.250 0.500
Cu1 0.250 0.750 0.500
Ir1 0.500 0.500 0.000